The following is a PBE-GGA calculation of crystalline ZrMoPtCl2 at its relaxed geometry, from Alexandria via LeMat-Bulk.

## Properties
Formation energy (no corrections): 951 meV per atom
Spin magnetization: 0.6751 μB/atom
Crystal system: tetragonal

Lattice parameters (Å, degrees): 4.7235 4.7235 5.4888 90.00 90.00 90.00
Last column: nearest neighbours and their distance in Å.
Space group P4/mmm (No. 123)
Inequivalent atoms, fractional coordinates:
Zr (0.0000, 0.0000, 0.0000) (multiplicity 1)  2 Pt 2.74
Mo (0.5000, 0.5000, 0.0000) (multiplicity 1)  4 Zr 3.34, 8 Cl 3.62
Pt (0.0000, 0.0000, 0.5000) (multiplicity 1)  4 Cl 2.36
Cl (0.0000, 0.5000, 0.5000) (multiplicity 2)  2 Pt 2.36